A plane-wave DFT calculation with PBE was carried out for Na3Zr3MnTe8 after structural relaxation.

DFT total energy: -5.0512 eV/atom
Formation energy (no corrections): -791 meV per atom
Total moment: 4.858 Bohr magnetons per cell

Cell: 8.2163 8.2138 9.1243 Å, 116.75 90.00 120.01°
Last column: magnetic moment on the atom in μB.
Sites, in units of the cell vectors:
Te (0.7432, 0.9802, 0.7167)  0.00
Te (0.2371, 0.9802, 0.7167)  0.00
Te (0.2373, 0.4746, 0.7168)  0.00
Te (0.7629, 0.0198, 0.2833)  0.00
Te (0.7419, 0.4838, 0.7249)  -0.01
Te (0.2581, 0.5162, 0.2751)  -0.01
Te (0.7627, 0.5254, 0.2832)  0.00
Te (0.2568, 0.0198, 0.2833)  0.00
Na (0.5000, 0.5000, 0.0000)  0.00
Na (0.0000, 0.0000, 0.0000)  0.00
Na (0.0000, 0.5000, 0.0000)  0.00
Zr (0.5000, 0.0000, 0.5000)  0.11
Zr (0.5000, 0.5000, 0.5000)  0.11
Zr (0.0000, 0.5000, 0.5000)  0.11
Mn (0.0000, 0.0000, 0.5000)  4.04